# 1
# Nb2InGe

A relaxed structure of Nb2InGe (PBE, the Alexandria database).

Lattice parameters (Å, degrees): 3.997 3.997 10.469 78.99 78.99 90.00
Sites, in units of the cell vectors:
Nb 0.616 0.125 0.250
Nb 0.134 0.625 0.250
Nb 0.375 0.384 0.750
Nb 0.875 0.866 0.750
Ge 0.250 0.750 0.500
Ge 0.500 0.500 0.000
In 0.000 0.000 0.000
In 0.750 0.250 0.500

Computed properties:
- Formation energy from the elements: 33 kJ/mol of atoms
- Space-group type: No. 122
- Crystal system: tetragonal
- Uncorrected energy: -52.3 eV for the cell shown

# 2
# CaGe2P

A relaxed structure of CaGe2P (PBE, the Alexandria database).

Lattice parameters (Å, degrees): 7.820 7.820 6.229 51.12 51.12 90.00
Sites, in units of the cell vectors:
Ge 0.183 0.625 0.250
Ge 0.567 0.125 0.250
Ge 0.375 0.433 0.750
Ge 0.875 0.817 0.750
P 0.250 0.750 0.500
P 0.500 0.500 0.000
Ca 0.000 0.000 0.000
Ca 0.750 0.250 0.500

Computed properties:
- Formation energy from the elements: -20 kJ/mol of atoms
- Space-group type: No. 122
- Crystal system: tetragonal
- Uncorrected energy: -34.9 eV for the cell shown

# 3
# ZnCr2Br2

A relaxed structure of ZnCr2Br2 (PBE, the Alexandria database).

Lattice parameters (Å, degrees): 6.843 6.843 4.246 90.00 90.00 90.00
Sites, in units of the cell vectors:
Br 0.831 0.331 0.500
Br 0.669 0.831 0.500
Br 0.331 0.169 0.500
Br 0.169 0.669 0.500
Zn 0.500 0.500 0.000
Zn 0.000 0.000 0.000
Cr 0.095 0.405 0.000
Cr 0.595 0.095 0.000
Cr 0.905 0.595 0.000
Cr 0.405 0.905 0.000

Computed properties:
- Formation energy from raw total energies: 578 meV/atom
- Space-group type: No. 127
- Crystal system: tetragonal
- Energy above the lowest structure with this stoichiometry: 90 meV per atom
- Uncorrected energy: -42.0 eV for the cell shown

# 4
# SrIn2Se

A relaxed structure of SrIn2Se (PBE, the Alexandria database).

Lattice parameters (Å, degrees): 4.399 4.396 6.313 90.00 90.00 90.00
Sites, in units of the cell vectors:
In 0.000 0.000 0.476
In 0.000 0.000 0.024
Se 0.500 0.500 0.250
Sr 0.500 0.500 0.750

Computed properties:
- Formation energy from raw total energies: -385 meV/atom
- Space-group type: No. 123
- Crystal system: tetragonal
- Uncorrected energy: -12.2 eV for the cell shown

# 5
# Tm3ThCo2

A relaxed structure of Tm3ThCo2 (PBE, the Alexandria database).

Lattice parameters (Å, degrees): 3.750 8.321 9.762 77.85 78.93 76.98
Sites, in units of the cell vectors:
Co 0.767 0.913 0.552
Co 0.764 0.407 0.065
Co 0.236 0.593 0.935
Co 0.233 0.087 0.448
Tm 0.417 0.221 0.945
Tm 0.583 0.273 0.562
Tm 0.154 0.942 0.751
Tm 0.583 0.779 0.055
Tm 0.846 0.058 0.249
Tm 0.417 0.727 0.438
Th 0.161 0.431 0.247
Th 0.839 0.569 0.753

Computed properties:
- Formation energy from the elements: -20 kJ/mol of atoms
- Space-group type: No. 12
- Crystal system: monoclinic
- Uncorrected energy: -72.6 eV for the cell shown

# 6
# AlZnBr

A relaxed structure of AlZnBr (PBE, the Alexandria database).

Lattice parameters (Å, degrees): 4.942 4.942 4.942 60.00 60.00 60.00
Sites, in units of the cell vectors:
Zn 0.500 0.500 0.500
Br 0.000 0.000 0.000
Al 0.750 0.750 0.750

Computed properties:
- Formation energy from raw total energies: 136 meV/atom
- Space-group type: No. 216
- Crystal system: cubic
- Energy above the lowest structure with this stoichiometry: 143 meV per atom
- Uncorrected energy: -6.3 eV for the cell shown

# 7
# Co2SiIr

A relaxed structure of Co2SiIr (PBE, the Alexandria database).

Lattice parameters (Å, degrees): 4.857 4.857 4.857 146.50 129.43 62.03
Sites, in units of the cell vectors:
Co 0.754 0.254 0.500
Co 0.027 0.027 0.000
Ir 0.477 0.477 0.000
Si 0.242 0.742 0.500

Computed properties:
- Formation energy from raw total energies: -226 meV/atom
- Space-group type: No. 44
- Crystal system: orthorhombic
- Uncorrected energy: -29.4 eV for the cell shown

# 8
# Co2AgAs

A relaxed structure of Co2AgAs (PBE, the Alexandria database).

Lattice parameters (Å, degrees): 4.046 2.798 5.313 74.80 90.00 90.00
Sites, in units of the cell vectors:
Co 0.000 0.807 0.010
Co 0.500 0.219 0.188
Ag 0.000 0.558 0.505
As 0.500 0.916 0.796

Computed properties:
- Formation energy from the elements: 26 kJ/mol of atoms
- Space-group type: No. 6
- Crystal system: monoclinic
- Uncorrected energy: -20.6 eV for the cell shown

# 9
# V2OsN

A relaxed structure of V2OsN (PBE, the Alexandria database).

Lattice parameters (Å, degrees): 2.834 2.834 6.757 77.90 77.90 60.00
Sites, in units of the cell vectors:
V 0.058 0.058 0.825
V 0.276 0.276 0.171
N 0.667 0.667 0.000
Os 0.499 0.499 0.504

Computed properties:
- Formation energy from raw total energies: -721 meV/atom
- Space-group type: No. 160
- Crystal system: trigonal
- Uncorrected energy: -40.7 eV for the cell shown

# 10
# Tb3Y2Er6Zr

A relaxed structure of Tb3Y2Er6Zr (PBE, the Alexandria database).

Lattice parameters (Å, degrees): 6.063 6.063 11.576 94.99 94.99 119.92
Sites, in units of the cell vectors:
Er 0.919 0.593 0.755
Er 0.755 0.755 0.245
Er 0.245 0.245 0.755
Er 0.407 0.081 0.245
Er 0.593 0.919 0.755
Er 0.081 0.407 0.245
Tb 0.833 0.167 0.500
Tb 0.500 0.500 0.500
Tb 0.167 0.833 0.500
Y 0.667 0.333 0.000
Y 0.333 0.667 0.000
Zr 0.000 0.000 0.000

Computed properties:
- Formation energy from the elements: 4 kJ/mol of atoms
- Space-group type: No. 12
- Crystal system: monoclinic
- Uncorrected energy: -62.2 eV for the cell shown

# 11
# ScTaB3

A relaxed structure of ScTaB3 (PBE, the Alexandria database).

Lattice parameters (Å, degrees): 3.125 3.419 9.972 99.87 90.00 90.00
Sites, in units of the cell vectors:
B 0.250 0.666 0.331
B 0.750 0.523 0.045
B 0.750 0.616 0.232
B 0.750 0.334 0.669
B 0.250 0.477 0.955
B 0.250 0.384 0.768
Sc 0.750 0.930 0.861
Sc 0.250 0.070 0.139
Ta 0.750 0.203 0.407
Ta 0.250 0.797 0.593

Computed properties:
- Formation energy from the elements: -80 kJ/mol of atoms
- Space-group type: No. 63
- Crystal system: orthorhombic
- Energy above the lowest structure with this stoichiometry: 0 meV per atom
- Uncorrected energy: -84.7 eV for the cell shown

# 12
# BaCuBr2

A relaxed structure of BaCuBr2 (PBE, the Alexandria database).

Lattice parameters (Å, degrees): 4.272 4.059 7.044 89.24 90.00 90.00
Sites, in units of the cell vectors:
Ba 0.500 0.750 0.750
Cu 0.500 0.250 0.250
Br 0.000 0.255 0.503
Br 0.000 0.245 0.997

Computed properties:
- Formation energy from raw total energies: -831 meV/atom
- Space-group type: No. 10
- Crystal system: monoclinic
- Energy above the lowest structure with this stoichiometry: 171 meV per atom
- Uncorrected energy: -12.7 eV for the cell shown

Which of these has the lowest uncorrected energy? ScTaB3

What is the formula in the second record? CaGe2P

Which formula does entry 9 have? V2OsN

uncorrected energy of number 12 (BaCuBr2)? -12.7 eV for the cell shown